Entry from Alexandria via LeMat-Bulk: a geometry-optimized Rb2CoO3 structure (PBE+U).

Summary:
* total magnetization: 6.00 μB/cell
* symmetry: No. 36
* uncorrected energy: -28.9 eV/f.u.

Cell: 5.4061 6.3632 6.3632 Å, 108.83 90.00 90.00°
Last column: magnetic moment on the atom in μB.
Fractional coordinates of all 12 atoms:
O  0.4898  0.1181  0.8828  0.05
O  0.7386  0.6834  0.6834  0.46
O  0.2386  0.3166  0.3166  0.46
O  0.9898  0.1172  0.8819  0.05
O  0.4898  0.8828  0.1181  0.05
O  0.9898  0.8819  0.1172  0.05
Co  0.7396  0.9264  0.9264  2.24
Co  0.2396  0.0736  0.0736  2.24
Rb  0.2410  0.8165  0.4949  0.01
Rb  0.7410  0.1835  0.5051  0.01
Rb  0.7410  0.5051  0.1835  0.01
Rb  0.2410  0.4949  0.8165  0.01